Record 1
# Zn3CuBi, optimized geometry, DFT PBE-GGA
data_Zn3CuBi
_cell_length_a 4.684
_cell_length_b 4.684
_cell_length_c 4.684
_cell_angle_alpha 90.00
_cell_angle_beta 90.00
_cell_angle_gamma 90.00
_symmetry_space_group_name_H-M 'P m -3 m'
_symmetry_Int_Tables_number 221
_symmetry_space_group_name_Hall '-P 4 2 3'
loop_
_atom_site_label
_atom_site_type_symbol
_atom_site_fract_x
_atom_site_fract_y
_atom_site_fract_z
_atom_site_occupancy
Zn1 Zn 0.000 0.000 0.500 1
Cu1 Cu 0.000 0.000 0.000 1
Bi1 Bi 0.500 0.500 0.500 1
# - Relative energy among the computed polymorphs: 0 meV/atom
# - Calculated formation energy: 0.272 eV/atom

---

Record 2
# Na2AgPb2, optimized geometry, DFT PBE-GGA
data_Na2AgPb2
_cell_length_a 7.552
_cell_length_b 7.552
_cell_length_c 5.050
_cell_angle_alpha 90.00
_cell_angle_beta 90.00
_cell_angle_gamma 90.00
_symmetry_space_group_name_H-M 'P 4/m b m'
_symmetry_Int_Tables_number 127
_symmetry_space_group_name_Hall '-P 4 2ab'
loop_
_atom_site_label
_atom_site_type_symbol
_atom_site_fract_x
_atom_site_fract_y
_atom_site_fract_z
_atom_site_occupancy
Na1 Na 0.164 0.336 0.000 1
Ag1 Ag 0.000 0.000 0.500 1
Pb1 Pb 0.145 0.645 0.500 1
# - Relative energy among the computed polymorphs: 23 meV/atom
# - Calculated formation energy: -0.042 eV/atom

---

Record 3
# Y3Lu, optimized geometry, DFT PBE-GGA
data_Y3Lu
_cell_length_a 3.620
_cell_length_b 11.243
_cell_length_c 6.263
_cell_angle_alpha 90.00
_cell_angle_beta 90.00
_cell_angle_gamma 90.00
_symmetry_space_group_name_H-M 'I m m 2'
_symmetry_Int_Tables_number 44
_symmetry_space_group_name_Hall 'I 2 -2'
loop_
_atom_site_label
_atom_site_type_symbol
_atom_site_fract_x
_atom_site_fract_y
_atom_site_fract_z
_atom_site_occupancy
Y1 Y 0.000 0.000 0.000 1
Y2 Y 0.000 0.248 0.665 1
Lu1 Lu 0.000 0.500 0.997 1
# - Relative energy among the computed polymorphs: 0 meV/atom
# - Calculated formation energy: 0.000 eV/atom

---

Record 4
# Sc2ReSi, optimized geometry, DFT PBE-GGA
data_Sc2ReSi
_cell_length_a 7.512
_cell_length_b 7.512
_cell_length_c 5.200
_cell_angle_alpha 90.00
_cell_angle_beta 90.00
_cell_angle_gamma 90.00
_symmetry_space_group_name_H-M 'I -4 2 d'
_symmetry_Int_Tables_number 122
_symmetry_space_group_name_Hall 'I -4 2bw'
loop_
_atom_site_label
_atom_site_type_symbol
_atom_site_fract_x
_atom_site_fract_y
_atom_site_fract_z
_atom_site_occupancy
Sc1 Sc 0.247 0.250 0.125 1
Re1 Re 0.000 0.000 0.000 1
Si1 Si 0.000 0.000 0.500 1
# - Formation energy from raw total energies: 302.3 meV/atom

---

Record 5
# SiMoP, optimized geometry, DFT PBE-GGA
data_SiMoP
_cell_length_a 5.706
_cell_length_b 5.706
_cell_length_c 5.706
_cell_angle_alpha 90.00
_cell_angle_beta 90.00
_cell_angle_gamma 90.00
_symmetry_space_group_name_H-M 'F -4 3 m'
_symmetry_Int_Tables_number 216
_symmetry_space_group_name_Hall 'F -4 2 3'
loop_
_atom_site_label
_atom_site_type_symbol
_atom_site_fract_x
_atom_site_fract_y
_atom_site_fract_z
_atom_site_occupancy
Si1 Si 0.000 0.000 0.000 1
Mo1 Mo 0.000 0.000 0.500 1
P1 P 0.250 0.250 0.250 1
# - Formation energy from raw total energies: 312.1 meV/atom
# - Relative energy among the computed polymorphs: 685 meV/atom

---

Record 6
# CdSb2PI, optimized geometry, DFT PBE-GGA
data_CdSb2PI
_cell_length_a 5.562
_cell_length_b 5.562
_cell_length_c 5.548
_cell_angle_alpha 90.00
_cell_angle_beta 90.00
_cell_angle_gamma 90.00
_symmetry_space_group_name_H-M 'P 4/m m m'
_symmetry_Int_Tables_number 123
_symmetry_space_group_name_Hall '-P 4 2'
loop_
_atom_site_label
_atom_site_type_symbol
_atom_site_fract_x
_atom_site_fract_y
_atom_site_fract_z
_atom_site_occupancy
Cd1 Cd 0.000 0.000 0.000 1
Sb1 Sb 0.000 0.500 0.000 1
P1 P 0.500 0.500 0.500 1
I1 I 0.000 0.000 0.500 1
# - Formation energy from raw total energies: 1085.3 meV/atom
# - Relative energy among the computed polymorphs: 542 meV/atom

---

Record 7
# PmPbI, optimized geometry, DFT PBE-GGA
data_PmPbI
_cell_length_a 7.820
_cell_length_b 5.306
_cell_length_c 11.439
_cell_angle_alpha 90.00
_cell_angle_beta 96.54
_cell_angle_gamma 90.00
_symmetry_space_group_name_H-M 'C 1 2/m 1'
_symmetry_Int_Tables_number 12
_symmetry_space_group_name_Hall '-C 2y'
loop_
_atom_site_label
_atom_site_type_symbol
_atom_site_fract_x
_atom_site_fract_y
_atom_site_fract_z
_atom_site_occupancy
Pm1 Pm 0.002 0.000 0.188 1
Pb1 Pb 0.178 0.500 0.965 1
I1 I 0.180 0.500 0.343 1
# - Formation energy from raw total energies: -675.5 meV/atom

---

Record 8
# SrTc2GeO8, optimized geometry, DFT PBE-GGA
data_SrTc2GeO8
_cell_length_a 7.077
_cell_length_b 6.501
_cell_length_c 6.362
_cell_angle_alpha 90.00
_cell_angle_beta 94.99
_cell_angle_gamma 90.00
_symmetry_space_group_name_H-M 'C 1 2/m 1'
_symmetry_Int_Tables_number 12
_symmetry_space_group_name_Hall '-C 2y'
loop_
_atom_site_label
_atom_site_type_symbol
_atom_site_fract_x
_atom_site_fract_y
_atom_site_fract_z
_atom_site_occupancy
Sr1 Sr 0.000 0.000 0.000 1
Tc1 Tc 0.012 0.500 0.268 1
Ge1 Ge 0.000 0.000 0.500 1
O1 O 0.027 0.213 0.707 1
O2 O 0.162 0.500 0.035 1
O3 O 0.214 0.500 0.502 1
# - Formation energy from raw total energies: -1538.7 meV/atom